1.
Density functional theory data (GGA-PBE) for a relaxed structure of MgPaTe2O8.

Calculated values
Final energy, eV per atom: -6.52
Formation energy without anion corrections, meV per atom: -1765
Volume, Å³/f.u.: 177.9

a b c (Å): 7.0837 7.0837 7.0907
angles (deg): 90.00 90.00 90.00
Space group I-4m2 (No. 119)
Symmetry-distinct sites (fractional):
Mg1 0.0000 0.0000 0.0000 [2 per cell]
Pa1 0.0000 0.5000 0.7500 [2 per cell]
Te1 0.0000 0.0000 0.5000 [2 per cell]
Te2 0.0000 0.5000 0.2500 [2 per cell]
O1 0.0000 0.1965 0.7058 [8 per cell]
O2 0.0000 0.3078 0.0497 [8 per cell]

---

2.
Density functional theory data (GGA-PBE) for a relaxed structure of Nd2PuS4.

Calculated values
Final energy, eV per atom: -7.63
E above lowest polymorph, meV/atom: 38
Formation energy without anion corrections, meV per atom: -1862
Volume, Å³/f.u.: 191.9

a b c (Å): 14.4770 4.1076 7.1784
angles (deg): 90.00 115.98 90.00
Space group C2/m (No. 12)
Symmetry-distinct sites (fractional):
Nd1 0.2181 0.0000 0.2140 [4 per cell]
Pu1 0.0000 0.5000 0.5000 [2 per cell]
S1 0.1245 0.5000 0.9318 [4 per cell]
S2 0.1394 0.0000 0.5151 [4 per cell]

---

3.
Density functional theory data (GGA-PBE) for a relaxed structure of K2TaSe.

Calculated values
Final energy, eV per atom: -3.48
Formation energy without anion corrections, meV per atom: 901
Volume, Å³/f.u.: 117.1

a b c (Å): 5.4696 5.4696 7.8283
angles (deg): 90.00 90.00 90.00
Space group I-4m2 (No. 119)
Symmetry-distinct sites (fractional):
K1 0.0000 0.0000 0.0000 [2 per cell]
K2 0.0000 0.5000 0.2500 [2 per cell]
Ta1 0.0000 0.0000 0.5000 [2 per cell]
Se1 0.0000 0.5000 0.7500 [2 per cell]

---

4.
Density functional theory data (GGA-PBE) for a relaxed structure of CsKRbCd.

Calculated values
Final energy, eV per atom: -0.94
Formation energy from the elements, meV/atom: 21
E above lowest polymorph, meV/atom: 0
Volume, Å³/f.u.: 268.5

a b c (Å): 6.6666 6.6664 12.0826
angles (deg): 90.00 90.02 90.00
Space group Cm (No. 8)
Symmetry-distinct sites (fractional):
Cs1 0.0000 0.0000 0.0000 [2 per cell]
K1 0.4991 0.0000 0.6883 [2 per cell]
Rb1 0.4987 0.0000 0.3436 [2 per cell]
Cd1 0.4989 0.5000 0.5311 [2 per cell]